1.
# TlCF4

A relaxed structure of TlCF4 (GGA-PBE, the Alexandria database).

Unit cell a=8.495 b=10.241 c=6.154 alpha=90.00 beta=90.00 gamma=90.00
Sites, in units of the cell vectors:
1 Tl 0.250 0.209 0.102
2 Tl 0.750 0.791 0.898
3 Tl 0.250 0.291 0.602
4 Tl 0.750 0.709 0.398
5 C 0.750 0.357 0.887
6 C 0.250 0.857 0.613
7 C 0.750 0.143 0.387
8 C 0.250 0.643 0.113
9 F 0.250 0.935 0.437
10 F 0.750 0.065 0.563
11 F 0.379 0.719 0.111
12 F 0.250 0.569 0.294
13 F 0.750 0.435 0.063
14 F 0.121 0.719 0.111
15 F 0.250 0.565 0.937
16 F 0.879 0.219 0.389
17 F 0.879 0.281 0.889
18 F 0.750 0.069 0.206
19 F 0.121 0.781 0.611
20 F 0.750 0.431 0.706
21 F 0.621 0.281 0.889
22 F 0.250 0.931 0.794
23 F 0.379 0.781 0.611
24 F 0.621 0.219 0.389

## Properties
* E: -4.5314 eV per atom
* crystal system: orthorhombic
* E_form (uncorrected): -1.352 eV/atom

2.
# NaAg

A relaxed structure of NaAg (GGA-PBE, the Alexandria database).

Unit cell a=6.843 b=6.843 c=6.843 alpha=90.00 beta=90.00 gamma=90.00
Sites, in units of the cell vectors:
1 Na 0.250 0.250 0.250
2 Na 0.250 0.750 0.750
3 Na 0.750 0.250 0.750
4 Na 0.750 0.750 0.250
5 Ag 0.000 0.000 0.000
6 Ag 0.000 0.500 0.500
7 Ag 0.500 0.000 0.500
8 Ag 0.500 0.500 0.000

## Properties
* energy of formation: 0.38 eV per atom
* E: -1.7007 eV per atom
* crystal system: cubic

3.
# Sc2Ga2Os

A relaxed structure of Sc2Ga2Os (GGA-PBE, the Alexandria database).

Unit cell a=6.825 b=6.825 c=3.740 alpha=90.00 beta=90.00 gamma=90.00
Sites, in units of the cell vectors:
1 Sc 0.177 0.677 0.500
2 Sc 0.677 0.823 0.500
3 Sc 0.823 0.323 0.500
4 Sc 0.323 0.177 0.500
5 Os 0.000 0.000 0.000
6 Os 0.500 0.500 0.000
7 Ga 0.370 0.870 0.000
8 Ga 0.870 0.630 0.000
9 Ga 0.630 0.130 0.000
10 Ga 0.130 0.370 0.000

## Properties
* ΔE to the lowest computed polymorph: 0 meV/atom
* energy of formation: -0.47 eV per atom
* E: -6.4628 eV per atom
* crystal system: tetragonal

Repeat the second record exactly.
# NaAg

A relaxed structure of NaAg (GGA-PBE, the Alexandria database).

Unit cell a=6.843 b=6.843 c=6.843 alpha=90.00 beta=90.00 gamma=90.00
Sites, in units of the cell vectors:
1 Na 0.250 0.250 0.250
2 Na 0.250 0.750 0.750
3 Na 0.750 0.250 0.750
4 Na 0.750 0.750 0.250
5 Ag 0.000 0.000 0.000
6 Ag 0.000 0.500 0.500
7 Ag 0.500 0.000 0.500
8 Ag 0.500 0.500 0.000

## Properties
* energy of formation: 0.38 eV per atom
* E: -1.7007 eV per atom
* crystal system: cubic

> The lowest E belongs to which entry?

Sc2Ga2Os

> Which formula does entry 1 have?

TlCF4